No. 1
## ScTcOs2 (PBE-GGA)

Data for crystalline ScTcOs2 at its relaxed geometry.

Computed properties:
* V: 17.60 Å³/atom
* density of states at the Fermi level: 1.023 states/eV/atom
* calculated formation energy: 0.487 eV per atom
* energy above the most stable polymorph in this dataset: 0.554 eV per atom

Geometry as POSCAR:
```
ScTcOs2
1.0
-3.678 3.678 2.602
3.678 -3.678 2.602
3.678 3.678 -2.602
Sc Tc Os
2 2 4
direct
0.000 0.000 0.000 Sc
0.750 0.250 0.500 Sc
0.250 0.750 0.500 Tc
0.500 0.500 0.000 Tc
0.170 0.625 0.045 Os
0.375 0.420 0.545 Os
0.580 0.125 0.955 Os
0.875 0.830 0.455 Os
```



No. 2
## SnHgO2 (PBE-GGA)

Data for crystalline SnHgO2 at its relaxed geometry.

Computed properties:
* V: 21.00 Å³/atom
* density of states at the Fermi level: 0.000 states/eV/atom
* energy above the most stable polymorph in this dataset: 0.215 eV per atom
* ΔE_f (raw): -0.888 eV/atom

Geometry as POSCAR:
```
SnHgO2
1.0
-3.126 3.126 4.297
3.126 -3.126 4.297
3.126 3.126 -4.297
Sn Hg O
2 2 4
direct
0.000 0.000 0.000 Sn
0.750 0.250 0.500 Sn
0.250 0.750 0.500 Hg
0.500 0.500 0.000 Hg
0.375 0.039 0.164 O
0.789 0.625 0.664 O
0.875 0.211 0.836 O
0.961 0.125 0.336 O
```



No. 3
## Th6Te5Ir (PBE-GGA)

Data for crystalline Th6Te5Ir at its relaxed geometry.

Computed properties:
* V: 31.25 Å³/atom
* density of states at the Fermi level: 0.839 states/eV/atom
* ΔE_f (raw): -1.077 eV/atom

Geometry as POSCAR:
```
Th6Te5Ir
1.0
3.920 -6.669 0.000
3.920 6.669 0.000
-2.528 0.000 7.172
Th Te Ir
6 5 1
direct
0.072 0.373 0.723 Th
0.210 0.210 0.243 Th
0.373 0.072 0.723 Th
0.627 0.928 0.277 Th
0.790 0.790 0.757 Th
0.928 0.627 0.277 Th
0.188 0.812 0.000 Te
0.342 0.658 0.500 Te
0.500 0.500 0.000 Te
0.658 0.342 0.500 Te
0.812 0.188 0.000 Te
0.000 0.000 0.500 Ir
```



No. 4
## Ag2HgGe (PBE-GGA)

Data for crystalline Ag2HgGe at its relaxed geometry.

Computed properties:
* V: 19.51 Å³/atom
* density of states at the Fermi level: 0.436 states/eV/atom
* calculated formation energy: 0.151 eV per atom
* energy above the most stable polymorph in this dataset: 0.018 eV per atom

Geometry as POSCAR:
```
Ag2HgGe
1.0
3.048 0.000 0.000
0.000 3.048 0.000
0.000 0.000 8.399
Ag Hg Ge
2 1 1
direct
0.000 0.000 0.240 Ag
0.000 0.000 0.760 Ag
0.500 0.500 0.500 Hg
0.500 0.500 0.000 Ge
```



No. 5
## Ce2PrPbC (PBE-GGA)

Data for crystalline Ce2PrPbC at its relaxed geometry.

Computed properties:
* V: 25.94 Å³/atom
* density of states at the Fermi level: 1.956 states/eV/atom
* calculated formation energy: -0.373 eV per atom

Geometry as POSCAR:
```
Ce2PrPbC
1.0
4.974 0.000 0.000
0.000 4.974 0.000
0.000 0.000 5.243
Ce Pr Pb C
2 1 1 1
direct
0.000 0.500 0.000 Ce
0.500 0.000 0.000 Ce
0.000 0.000 0.500 Pr
0.500 0.500 0.500 Pb
0.000 0.000 0.000 C
```



No. 6
## LaGdAl2 (PBE-GGA)

Data for crystalline LaGdAl2 at its relaxed geometry.

Computed properties:
* V: 25.70 Å³/atom
* density of states at the Fermi level: 0.407 states/eV/atom
* calculated formation energy: -0.370 eV per atom
* energy above the most stable polymorph in this dataset: 0.013 eV per atom

Geometry as POSCAR:
```
LaGdAl2
1.0
0.000 3.718 3.718
3.718 0.000 3.718
3.718 3.718 0.000
La Gd Al
1 1 2
direct
0.000 0.000 0.000 La
0.500 0.500 0.500 Gd
0.250 0.250 0.250 Al
0.750 0.750 0.750 Al
```



No. 7
## TlTeI2F (PBE-GGA)

Data for crystalline TlTeI2F at its relaxed geometry.

Computed properties:
* V: 43.65 Å³/atom
* density of states at the Fermi level: 2.129 states/eV/atom
* energy above the most stable polymorph in this dataset: 0.876 eV per atom
* ΔE_f (raw): 0.214 eV/atom

Geometry as POSCAR:
```
TlTeI2F
1.0
5.975 0.000 0.000
0.000 5.975 0.000
0.000 0.000 6.114
Tl Te I F
1 1 2 1
direct
0.000 0.000 0.000 Tl
0.000 0.000 0.500 Te
0.000 0.500 0.000 I
0.500 0.000 0.000 I
0.500 0.500 0.500 F
```



No. 8
## MnInGe3 (PBE-GGA)

Data for crystalline MnInGe3 at its relaxed geometry.

Computed properties:
* V: 20.69 Å³/atom
* density of states at the Fermi level: 0.555 states/eV/atom
* calculated formation energy: 0.186 eV per atom

Geometry as POSCAR:
```
MnInGe3
1.0
4.695 0.000 0.000
0.000 4.695 0.000
0.000 0.000 4.695
Mn In Ge
1 1 3
direct
0.000 0.000 0.000 Mn
0.500 0.500 0.500 In
0.000 0.000 0.500 Ge
0.000 0.500 0.000 Ge
0.500 0.000 0.000 Ge
```



No. 9
## Be4Se5 (PBE-GGA)

Data for crystalline Be4Se5 at its relaxed geometry.

Computed properties:
* V: 17.41 Å³/atom
* density of states at the Fermi level: 0.333 states/eV/atom
* ΔE_f (raw): 0.649 eV/atom

Geometry as POSCAR:
```
Be4Se5
1.0
-4.660 4.660 1.804
4.660 -4.660 1.804
4.660 4.660 -1.804
Be Se
4 5
direct
0.000 0.395 0.395 Be
0.000 0.605 0.605 Be
0.395 0.000 0.395 Be
0.605 0.000 0.605 Be
0.000 0.000 0.000 Se
0.320 0.320 0.639 Se
0.320 0.680 0.000 Se
0.680 0.320 0.000 Se
0.680 0.680 0.361 Se
```



No. 10
## VCoNiPt (PBE-GGA)

Data for crystalline VCoNiPt at its relaxed geometry.

Computed properties:
* V: 12.47 Å³/atom
* density of states at the Fermi level: 0.824 states/eV/atom
* calculated formation energy: -0.300 eV per atom

Geometry as POSCAR:
```
VCoNiPt
1.0
3.633 0.000 0.000
0.000 3.644 0.000
0.000 0.000 3.770
V Co Ni Pt
1 1 1 1
direct
0.000 0.000 0.000 V
0.500 0.500 0.000 Co
0.500 0.000 0.500 Ni
0.000 0.500 0.500 Pt
```



No. 11
## TbTh2Rh6 (PBE-GGA)

Data for crystalline TbTh2Rh6 at its relaxed geometry.

Computed properties:
* V: 21.22 Å³/atom
* density of states at the Fermi level: 0.691 states/eV/atom
* calculated formation energy: -0.472 eV per atom

Geometry as POSCAR:
```
TbTh2Rh6
1.0
-1.981 4.078 5.912
1.981 -4.078 5.912
1.981 4.078 -5.912
Tb Th Rh
1 2 6
direct
0.000 0.000 0.000 Tb
0.332 0.332 0.000 Th
0.668 0.668 0.000 Th
0.088 0.834 0.254 Rh
0.259 0.500 0.759 Rh
0.420 0.166 0.254 Rh
0.580 0.834 0.746 Rh
0.741 0.500 0.241 Rh
0.912 0.166 0.746 Rh
```



No. 12
## Y2SnPt (PBE-GGA)

Data for crystalline Y2SnPt at its relaxed geometry.

Computed properties:
* V: 27.12 Å³/atom
* density of states at the Fermi level: 0.777 states/eV/atom
* calculated formation energy: -0.802 eV per atom

Geometry as POSCAR:
```
Y2SnPt
1.0
1.970 1.137 8.068
-1.970 1.137 8.068
0.000 -2.275 8.068
Y Sn Pt
2 1 1
direct
0.237 0.237 0.237 Y
0.763 0.763 0.763 Y
0.000 0.000 0.000 Sn
0.500 0.500 0.500 Pt
```



Number 1: VASP energy -9.3019 eV/atom, total moment 0.00 μB/atom. Number 2: VASP energy -4.4436 eV/atom, total moment 0.00 μB/atom. Number 3: VASP energy -6.8343 eV/atom, total moment 0.00 μB/atom. Number 4: VASP energy -2.5040 eV/atom, total moment 0.00 μB/atom. Number 5: VASP energy -6.2886 eV/atom, total moment 0.28 μB/atom. Number 6: VASP energy -6.9930 eV/atom, total moment 1.77 μB/atom. Number 7: VASP energy -1.8820 eV/atom, total moment 0.35 μB/atom. Number 8: VASP energy -4.9656 eV/atom, total moment 0.32 μB/atom. Number 9: VASP energy -2.9427 eV/atom, total moment 0.00 μB/atom. Number 10: VASP energy -7.3118 eV/atom, total moment 0.03 μB/atom. Number 11: VASP energy -7.5363 eV/atom, total moment 0.00 μB/atom. Number 12: VASP energy -6.5453 eV/atom, total moment 0.00 μB/atom.